Entry 1:
# Ba2LiZnH, relaxed, DFT PBE
# Offset from the most stable computed form: 0 meV/atom
# Crystal system: tetragonal
data_Ba2LiZnH
_chemical_formula_sum 'Ba2 Li1 Zn1 H1'
_space_group_name_H-M_alt 'P 4/m m m'
_space_group_IT_number 123
_space_group_name_Hall '-P 4 2'
_cell_length_a 5.7569
_cell_length_b 5.7569
_cell_length_c 4.2421
_cell_angle_alpha 90.00
_cell_angle_beta 90.00
_cell_angle_gamma 90.00
loop_
_atom_site_label
_atom_site_fract_x
_atom_site_fract_y
_atom_site_fract_z
_atom_site_occupancy
Ba1 0.0000 0.5000 0.0000 1
Li1 0.0000 0.0000 0.5000 1
Zn1 0.5000 0.5000 0.5000 1
H1 0.0000 0.0000 0.0000 1



Entry 2:
# BaLi3Zn4H12, relaxed, DFT PBE
# DFT total energy: -2.759 eV/atom
# Crystal system: trigonal
data_BaLi3Zn4H12
_chemical_formula_sum 'Ba3 Li9 Zn12 H36'
_space_group_name_H-M_alt 'R 3 2'
_space_group_IT_number 155
_space_group_name_Hall 'R 3 2"'
_cell_length_a 10.1973
_cell_length_b 10.1973
_cell_length_c 7.7380
_cell_angle_alpha 90.00
_cell_angle_beta 90.00
_cell_angle_gamma 120.00
loop_
_atom_site_label
_atom_site_fract_x
_atom_site_fract_y
_atom_site_fract_z
_atom_site_occupancy
Ba1 0.0000 0.0000 0.0000 1
Li1 0.0000 0.5691 0.0000 1
Zn1 0.0000 0.0000 0.5000 1
Zn2 0.0000 0.4164 0.5000 1
H1 0.0000 0.5761 0.5000 1
H2 0.0000 0.8409 0.5000 1
H3 0.0749 0.2519 0.1567 1